1.
! TaNbIrOs PBE relaxed; values from VASP
&SYSTEM
  ibrav = 0, nat = 4, ntyp = 4
/
ATOMIC_SPECIES
Ta 180.95 Ta.upf
Nb 92.91 Nb.upf
Ir 192.22 Ir.upf
Os 190.23 Os.upf
ATOMIC_POSITIONS crystal
Ta 0.000 0.500 0.500
Nb 0.500 0.000 0.500
Ir 0.000 0.000 0.000
Os 0.500 0.500 0.000
CELL_PARAMETERS angstrom
4.172 0.000 0.000
0.000 4.139 0.000
0.000 0.000 3.758
! ΔE_f = -0.3362 eV per atom

2.
! Hf3TiAs PBE relaxed; values from VASP
&SYSTEM
  ibrav = 0, nat = 5, ntyp = 3
/
ATOMIC_SPECIES
As 74.92 As.upf
Hf 178.49 Hf.upf
Ti 47.87 Ti.upf
ATOMIC_POSITIONS crystal
As 0.000 0.000 0.000
Hf 0.000 0.500 0.000
Hf 0.000 0.000 0.500
Hf 0.500 0.000 0.000
Ti 0.500 0.500 0.500
CELL_PARAMETERS angstrom
4.931 0.000 0.000
0.000 4.931 0.000
0.000 0.000 4.931
! ΔE_f = 0.2617 eV per atom
! ΔE to the lowest computed polymorph = 0 meV/atom

3.
! AcGdErTm PBE relaxed; values from VASP
&SYSTEM
  ibrav = 0, nat = 4, ntyp = 4
/
ATOMIC_SPECIES
Gd 157.25 Gd.upf
Ac 227.00 Ac.upf
Tm 168.93 Tm.upf
Er 167.26 Er.upf
ATOMIC_POSITIONS crystal
Gd 0.000 0.000 0.000
Ac 0.500 0.500 0.500
Tm 0.250 0.250 0.250
Er 0.750 0.750 0.750
CELL_PARAMETERS angstrom
5.802 0.000 0.000
2.901 5.024 0.000
2.901 1.675 4.737
! ΔE_f = 0.1042 eV per atom

4.
! Sr6As3O PBE relaxed; values from VASP
&SYSTEM
  ibrav = 0, nat = 20, ntyp = 3
/
ATOMIC_SPECIES
Sr 87.62 Sr.upf
As 74.92 As.upf
O 16.00 O.upf
ATOMIC_POSITIONS crystal
Sr 0.201 0.679 0.641
Sr 0.701 0.641 0.679
Sr 0.174 0.414 0.887
Sr 0.674 0.887 0.414
Sr 0.156 0.048 0.952
Sr 0.693 0.216 0.784
Sr 0.193 0.784 0.216
Sr 0.656 0.952 0.048
Sr 0.174 0.113 0.586
Sr 0.674 0.586 0.113
Sr 0.201 0.359 0.321
Sr 0.701 0.321 0.359
As 0.473 0.926 0.713
As 0.973 0.713 0.926
As 0.421 0.386 0.614
As 0.921 0.614 0.386
As 0.973 0.074 0.287
As 0.473 0.287 0.074
O 0.019 0.191 0.809
O 0.519 0.809 0.191
CELL_PARAMETERS angstrom
7.321 0.000 0.000
0.000 9.713 0.031
0.000 -2.138 9.475
! ΔE_f (raw) = -1.3499 eV/atom

5.
! LiCu2Sb2 PBE relaxed; values from VASP
&SYSTEM
  ibrav = 0, nat = 5, ntyp = 3
/
ATOMIC_SPECIES
Sb 121.76 Sb.upf
Cu 63.55 Cu.upf
Li 6.94 Li.upf
ATOMIC_POSITIONS crystal
Sb 0.377 0.377 0.246
Sb 0.623 0.623 0.754
Cu 0.750 0.250 0.500
Cu 0.250 0.750 0.500
Li 0.000 0.000 0.000
CELL_PARAMETERS angstrom
-0.770 3.890 1.717
-1.534 -1.882 3.575
4.123 1.040 4.929
! ΔE_f (raw) = -0.0573 eV/atom
! ΔE to the lowest computed polymorph = 0 meV/atom

6.
! CdBi2B2 PBE relaxed; values from VASP
&SYSTEM
  ibrav = 0, nat = 5, ntyp = 3
/
ATOMIC_SPECIES
B 10.81 B.upf
Bi 208.98 Bi.upf
Cd 112.41 Cd.upf
ATOMIC_POSITIONS crystal
B 0.750 0.250 0.500
B 0.250 0.750 0.500
Bi 0.339 0.339 0.323
Bi 0.661 0.661 0.677
Cd 0.000 0.000 0.000
CELL_PARAMETERS angstrom
3.731 0.000 0.000
0.000 3.731 0.000
1.865 1.865 9.274
! ΔE_f = 0.9606 eV per atom
! ΔE to the lowest computed polymorph = 166 meV/atom

7.
HgHS5 | PBE | relaxed Values from VASP.

```
&SYSTEM
  ibrav = 0, nat = 14, ntyp = 3
/
ATOMIC_SPECIES
Hg 200.59 Hg.upf
H 1.01 H.upf
S 32.06 S.upf
ATOMIC_POSITIONS crystal
Hg 0.000 0.000 0.000
Hg 0.500 0.500 0.500
H 0.750 0.254 0.246
H 0.250 0.746 0.754
S 0.545 0.981 0.703
S 0.698 0.705 0.145
S 0.045 0.203 0.481
S 0.750 0.619 0.881
S 0.802 0.355 0.795
S 0.198 0.645 0.205
S 0.250 0.381 0.119
S 0.955 0.797 0.519
S 0.302 0.295 0.855
S 0.455 0.019 0.297
CELL_PARAMETERS angstrom
6.606 4.103 1.697
0.464 8.773 -2.360
2.976 0.198 8.594
```

8.
! CrCoTcW PBE relaxed; values from VASP
&SYSTEM
  ibrav = 0, nat = 4, ntyp = 4
/
ATOMIC_SPECIES
Cr 52.00 Cr.upf
Co 58.93 Co.upf
Tc 98.00 Tc.upf
W 183.84 W.upf
ATOMIC_POSITIONS crystal
Cr 0.500 0.500 0.500
Co 0.750 0.750 0.750
Tc 0.250 0.250 0.250
W 0.000 0.000 0.000
CELL_PARAMETERS angstrom
-0.823 3.267 -2.624
-0.682 -0.718 -4.154
-3.914 0.490 -1.637
! ΔE_f = 0.1350 eV per atom

9.
! Na2AgTe2 PBE relaxed; values from VASP
&SYSTEM
  ibrav = 0, nat = 10, ntyp = 3
/
ATOMIC_SPECIES
Na 22.99 Na.upf
Te 127.60 Te.upf
Ag 107.87 Ag.upf
ATOMIC_POSITIONS crystal
Na 0.375 0.875 0.000
Na 0.875 0.625 0.000
Na 0.625 0.125 0.000
Na 0.125 0.375 0.000
Te 0.175 0.675 0.500
Te 0.675 0.825 0.500
Te 0.825 0.325 0.500
Te 0.325 0.175 0.500
Ag 0.000 0.000 0.000
Ag 0.500 0.500 0.000
CELL_PARAMETERS angstrom
9.126 0.000 0.000
0.000 9.126 0.000
0.000 0.000 3.283
! ΔE_f (raw) = -0.3158 eV/atom
! ΔE to the lowest computed polymorph = 249 meV/atom

10.
! Ti3GeS6 PBE relaxed; values from VASP
&SYSTEM
  ibrav = 0, nat = 20, ntyp = 3
/
ATOMIC_SPECIES
Ti 47.87 Ti.upf
Ge 72.64 Ge.upf
S 32.06 S.upf
ATOMIC_POSITIONS crystal
Ti 0.483 0.932 0.720
Ti 0.983 0.720 0.932
Ti 0.374 0.409 0.591
Ti 0.874 0.591 0.409
Ti 0.983 0.068 0.280
Ti 0.483 0.280 0.068
Ge 0.008 0.181 0.819
Ge 0.508 0.819 0.181
S 0.169 0.699 0.634
S 0.669 0.634 0.699
S 0.223 0.451 0.897
S 0.723 0.897 0.451
S 0.245 0.008 0.992
S 0.610 0.238 0.762
S 0.110 0.762 0.238
S 0.745 0.992 0.008
S 0.223 0.103 0.549
S 0.723 0.549 0.103
S 0.169 0.366 0.301
S 0.669 0.301 0.366
CELL_PARAMETERS angstrom
-2.396 0.901 -5.734
-6.411 -3.682 2.100
-1.525 7.317 1.787
! ΔE_f (raw) = -0.9443 eV/atom

11.
! ZnRe3 PBE relaxed; values from VASP
&SYSTEM
  ibrav = 0, nat = 4, ntyp = 2
/
ATOMIC_SPECIES
Re 186.21 Re.upf
Zn 65.41 Zn.upf
ATOMIC_POSITIONS crystal
Re 0.000 0.000 0.000
Re 0.500 0.000 0.500
Re 0.000 0.500 0.500
Zn 0.500 0.500 0.000
CELL_PARAMETERS angstrom
5.138 0.001 0.000
-0.468 2.644 0.000
2.335 1.322 4.382
! ΔE_f = 0.3505 eV per atom

12.
! Li2MnRu PBE relaxed; values from VASP
&SYSTEM
  ibrav = 0, nat = 4, ntyp = 3
/
ATOMIC_SPECIES
Li 6.94 Li.upf
Mn 54.94 Mn.upf
Ru 101.07 Ru.upf
ATOMIC_POSITIONS crystal
Li 0.000 0.000 0.001
Li 0.000 0.000 0.499
Mn 0.500 0.500 0.250
Ru 0.500 0.500 0.750
CELL_PARAMETERS angstrom
2.427 0.000 0.000
0.000 2.427 0.000
0.000 0.000 8.834
! ΔE_f = 0.4095 eV per atom
! ΔE to the lowest computed polymorph = 228 meV/atom

13.
! Sr2Ag3Ge PBE relaxed; values from VASP
&SYSTEM
  ibrav = 0, nat = 12, ntyp = 3
/
ATOMIC_SPECIES
Sr 87.62 Sr.upf
Ag 107.87 Ag.upf
Ge 72.64 Ge.upf
ATOMIC_POSITIONS crystal
Sr 0.250 0.750 0.500
Sr 0.756 0.756 0.000
Sr 0.750 0.250 0.500
Sr 0.244 0.244 0.000
Ag 0.344 0.827 0.170
Ag 0.173 0.656 0.830
Ag 0.656 0.173 0.830
Ag 0.827 0.344 0.170
Ag 0.172 0.172 0.344
Ag 0.828 0.828 0.656
Ge 0.666 0.666 0.332
Ge 0.334 0.334 0.668
CELL_PARAMETERS angstrom
0.440 6.078 -1.596
-2.544 -1.838 -5.463
-6.417 -0.784 6.558
! ΔE_f = -0.3360 eV per atom
! ΔE to the lowest computed polymorph = 0 meV/atom

14.
! TbThH2 PBE relaxed; values from VASP
&SYSTEM
  ibrav = 0, nat = 4, ntyp = 3
/
ATOMIC_SPECIES
H 1.01 H.upf
Tb 158.93 Tb.upf
Th 232.04 Th.upf
ATOMIC_POSITIONS crystal
H 0.751 0.751 0.747
H 0.249 0.249 0.253
Tb 0.500 0.500 0.500
Th 0.000 0.000 0.000
CELL_PARAMETERS angstrom
3.576 0.000 0.000
1.788 3.097 0.000
1.788 1.032 5.881
! ΔE to the lowest computed polymorph = 0 meV/atom

15.
! Li2ZrNi2 PBE relaxed; values from VASP
&SYSTEM
  ibrav = 0, nat = 10, ntyp = 3
/
ATOMIC_SPECIES
Ni 58.69 Ni.upf
Zr 91.22 Zr.upf
Li 6.94 Li.upf
ATOMIC_POSITIONS crystal
Ni 0.191 0.691 0.500
Ni 0.691 0.809 0.500
Ni 0.809 0.309 0.500
Ni 0.309 0.191 0.500
Zr 0.000 0.000 0.000
Zr 0.500 0.500 0.000
Li 0.390 0.890 0.000
Li 0.890 0.610 0.000
Li 0.610 0.110 0.000
Li 0.110 0.390 0.000
CELL_PARAMETERS angstrom
7.012 0.000 0.000
0.000 7.012 0.000
0.000 0.000 2.765
! ΔE_f = -0.0008 eV per atom
! ΔE to the lowest computed polymorph = 111 meV/atom

16.
! LaZnB PBE relaxed; values from VASP
&SYSTEM
  ibrav = 0, nat = 6, ntyp = 3
/
ATOMIC_SPECIES
Zn 65.41 Zn.upf
B 10.81 B.upf
La 138.91 La.upf
ATOMIC_POSITIONS crystal
Zn 0.094 0.111 0.759
Zn 0.974 0.611 0.200
B 0.558 0.611 0.992
B 0.509 0.111 0.968
La 0.344 0.611 0.385
La 0.723 0.111 0.575
CELL_PARAMETERS angstrom
9.743 0.000 0.081
0.000 3.173 0.000
-0.762 0.000 3.699
! ΔE_f = -0.3032 eV per atom
! ΔE to the lowest computed polymorph = 0 meV/atom

17.
! Dy7Tm2Mg PBE relaxed; values from VASP
&SYSTEM
  ibrav = 0, nat = 10, ntyp = 3
/
ATOMIC_SPECIES
Dy 162.50 Dy.upf
Tm 168.93 Tm.upf
Mg 24.30 Mg.upf
ATOMIC_POSITIONS crystal
Dy 0.000 0.794 0.206
Dy 0.000 0.206 0.794
Dy 0.500 0.069 0.287
Dy 0.500 0.931 0.713
Dy 0.500 0.287 0.069
Dy 0.500 0.713 0.931
Dy 0.500 0.500 0.500
Tm 0.500 0.706 0.294
Tm 0.500 0.294 0.706
Mg 0.000 0.000 0.000
CELL_PARAMETERS angstrom
-0.205 4.212 3.353
-9.030 0.677 -1.404
3.730 -5.101 6.636
! ΔE_f = 0.6729 eV per atom

18.
! KSnPb PBE relaxed; values from VASP
&SYSTEM
  ibrav = 0, nat = 3, ntyp = 3
/
ATOMIC_SPECIES
Pb 207.20 Pb.upf
K 39.10 K.upf
Sn 118.71 Sn.upf
ATOMIC_POSITIONS crystal
Pb 0.693 0.693 0.385
K 0.997 0.997 0.994
Sn 0.310 0.310 0.621
CELL_PARAMETERS angstrom
3.946 0.000 0.000
0.000 3.946 0.000
-1.973 -1.973 6.658
! ΔE_f = -0.1174 eV per atom
! ΔE to the lowest computed polymorph = 68 meV/atom

19.
! Na2Ge2N3 PBE relaxed; values from VASP
&SYSTEM
  ibrav = 0, nat = 7, ntyp = 3
/
ATOMIC_SPECIES
Na 22.99 Na.upf
Ge 72.64 Ge.upf
N 14.01 N.upf
ATOMIC_POSITIONS crystal
Na 0.389 0.174 0.777
Na 0.611 0.826 0.223
Ge 0.151 0.303 0.303
Ge 0.849 0.697 0.697
N 0.000 0.000 0.000
N 0.248 0.693 0.497
N 0.752 0.307 0.503
CELL_PARAMETERS angstrom
3.197 0.000 0.000
0.000 5.831 -0.571
-1.599 -2.073 5.431
! ΔE_f (raw) = 0.0815 eV/atom

20.
! PmCo5Sn7 PBE relaxed; values from VASP
&SYSTEM
  ibrav = 0, nat = 13, ntyp = 3
/
ATOMIC_SPECIES
Pm 145.00 Pm.upf
Co 58.93 Co.upf
Sn 118.71 Sn.upf
ATOMIC_POSITIONS crystal
Pm 0.995 0.005 0.005
Co 0.496 0.025 0.470
Co 0.009 0.025 0.470
Co 0.496 0.470 0.025
Co 0.009 0.470 0.025
Co 0.749 0.751 0.751
Sn 0.646 0.354 0.354
Sn 0.327 0.673 0.673
Sn 0.974 0.353 0.699
Sn 0.974 0.699 0.353
Sn 0.265 0.235 0.235
Sn 0.530 0.786 0.154
Sn 0.530 0.154 0.786
CELL_PARAMETERS angstrom
-2.560 4.592 1.813
-4.007 3.114 -5.016
-6.169 -1.378 3.311
! ΔE_f = -0.0542 eV per atom

| no. | total magnetic moment (μB/cell) | theoretical density (g/cm³) | final energy (eV for the cell shown) |
| --- | --- | --- | --- |
| 1 | 0.0 | 16.8 | -43.4 |
| 2 | 0.9 | 9.1 | -41.1 |
| 3 | 7.6 | 8.7 | -26.8 |
| 4 | 1.1 | 3.8 | -85.0 |
| 5 | 0.0 | 5.8 | -18.6 |
| 6 | 0.0 | 7.1 | -17.2 |
| 7 | 0.0 | 2.9 | -45.8 |
| 8 | 3.6 | 11.8 | -39.5 |
| 9 | 0.0 | 5.0 | -26.7 |
| 10 | 3.8 | 3.8 | -125.0 |
| 11 | 0.0 | 17.4 | -37.2 |
| 12 | 0.9 | 5.4 | -20.6 |
| 13 | 0.0 | 5.9 | -37.1 |
| 14 | 0.0 | 10.0 | -20.0 |
| 15 | 0.0 | 5.4 | -47.9 |
| 16 | 0.0 | 6.2 | -27.6 |
| 17 | 0.0 | 6.6 | -36.0 |
| 18 | 0.0 | 5.8 | -9.2 |
| 19 | 0.0 | 4.0 | -36.3 |
| 20 | 1.2 | 8.8 | -69.0 |